Entry 1:
KScH2Os: optimized geometry, PBE.

CIF file:
```
data_KScH2Os
_chemical_formula_sum 'K1 Sc1 H2 Os1'
_space_group_name_H-M_alt 'P 4/m m m'
_space_group_IT_number 123
_space_group_name_Hall '-P 4 2'
_cell_length_a 3.784
_cell_length_b 3.784
_cell_length_c 5.313
_cell_angle_alpha 90.00
_cell_angle_beta 90.00
_cell_angle_gamma 90.00
loop_
_atom_site_label
_atom_site_type_symbol
_atom_site_fract_x
_atom_site_fract_y
_atom_site_fract_z
_atom_site_occupancy
K1 K 0.000 0.000 0.000 1
Sc1 Sc 0.500 0.500 0.000 1
H1 H 0.000 0.500 0.500 1
Os1 Os 0.000 0.000 0.500 1
```

Magnetization ... 0.596 μB/cell
E_tot ... -18.021 eV per cell
Fermi-level density of states ... 0.7081 states/eV per atom

=====

Entry 2:
K2TlH6Os: optimized geometry, PBE.

CIF file:
```
data_K2TlH6Os
_chemical_formula_sum 'K2 Tl1 H6 Os1'
_space_group_name_H-M_alt 'P -3 m 1'
_space_group_IT_number 164
_space_group_name_Hall '-P 3 2"'
_cell_length_a 5.8950
_cell_length_b 5.8950
_cell_length_c 5.5279
_cell_angle_alpha 90.00
_cell_angle_beta 90.00
_cell_angle_gamma 120.00
loop_
_atom_site_label
_atom_site_type_symbol
_atom_site_fract_x
_atom_site_fract_y
_atom_site_fract_z
_atom_site_occupancy
K1 K 0.3333 0.6667 0.3099 1
Tl1 Tl 0.0000 0.0000 0.0000 1
H1 H 0.1532 0.3064 0.6371 1
Os1 Os 0.0000 0.0000 0.5000 1
```

Magnetization ... 0.000 μB/cell
E_tot ... -36.370 eV per cell
Fermi-level density of states ... 0.2619 states/eV per atom

=====

Entry 3:
KZnH6Os: optimized geometry, PBE.

CIF file:
```
data_KZnH6Os
_chemical_formula_sum 'K1 Zn1 H6 Os1'
_space_group_name_H-M_alt 'P 1'
_space_group_IT_number 1
_cell_length_a 4.001
_cell_length_b 4.781
_cell_length_c 5.816
_cell_angle_alpha 80.95
_cell_angle_beta 89.92
_cell_angle_gamma 65.92
loop_
_space_group_symop_operation_xyz
'x,y,z'
loop_
_atom_site_label
_atom_site_type_symbol
_atom_site_fract_x
_atom_site_fract_y
_atom_site_fract_z
_atom_site_occupancy
K1 K 0.000 0.000 0.000 1
Zn1 Zn 0.301 0.393 0.488 1
H1 H 0.001 0.868 0.508 1
H2 H 0.465 0.068 0.280 1
H3 H 0.483 0.033 0.726 1
H4 H 0.498 0.570 0.737 1
H5 H 0.724 0.517 0.344 1
H6 H 0.934 0.572 0.742 1
Os1 Os 0.617 0.784 0.530 1
```

Magnetization ... 0.000 μB/cell
E_tot ... -34.524 eV per cell
Fermi-level density of states ... 0.0717 states/eV per atom

=====

Entry 4:
K4PH: optimized geometry, PBE.

CIF file:
```
data_K4PH
_chemical_formula_sum 'K16 P4 H4'
_space_group_name_H-M_alt 'C 1 2/c 1'
_space_group_IT_number 15
_cell_length_a 16.344
_cell_length_b 7.667
_cell_length_c 7.674
_cell_angle_alpha 90.00
_cell_angle_beta 116.39
_cell_angle_gamma 90.00
loop_
_space_group_symop_operation_xyz
'x,y,z'
'-x,-y,-z'
'-x,y,-z+1/2'
'x,-y,z+1/2'
'x+1/2,y+1/2,z'
'-x+1/2,-y+1/2,-z'
'-x+1/2,y+1/2,-z+1/2'
'x+1/2,-y+1/2,z+1/2'
loop_
_atom_site_label
_atom_site_type_symbol
_atom_site_fract_x
_atom_site_fract_y
_atom_site_fract_z
_atom_site_occupancy
K1 K 0.117 0.055 0.055 1
K2 K 0.120 0.448 0.665 1
P1 P 0.000 0.251 0.250 1
H1 H 0.250 0.250 0.000 1
```

Magnetization ... 0.000 μB/cell
E_tot ... -56.869 eV per cell

=====

Entry 5:
K12P3H5: optimized geometry, PBE.

CIF file:
```
data_K12P3H5
_chemical_formula_sum 'K96 P24 H40'
_space_group_name_H-M_alt 'I a -3 d'
_space_group_IT_number 230
_space_group_name_Hall '-I 4bd 2c 3'
_cell_length_a 17.432
_cell_length_b 17.432
_cell_length_c 17.432
_cell_angle_alpha 90.00
_cell_angle_beta 90.00
_cell_angle_gamma 90.00
loop_
_atom_site_label
_atom_site_type_symbol
_atom_site_fract_x
_atom_site_fract_y
_atom_site_fract_z
_atom_site_occupancy
K1 K 0.025 0.059 0.654 1
P1 P 0.000 0.250 0.125 1
H1 H 0.000 0.000 0.000 1
H2 H 0.000 0.250 0.375 1
```

Magnetization ... 16.715 μB/cell
E_tot ... -392.047 eV per cell
Fermi-level density of states ... 0.5767 states/eV per atom

=====

Entry 6:
K2PH6: optimized geometry, PBE.

CIF file:
```
data_K2PH6
_chemical_formula_sum 'K8 P4 H24'
_space_group_name_H-M_alt 'F m -3 m'
_space_group_IT_number 225
_space_group_name_Hall '-F 4 2 3'
_cell_length_a 8.031
_cell_length_b 8.031
_cell_length_c 8.031
_cell_angle_alpha 90.00
_cell_angle_beta 90.00
_cell_angle_gamma 90.00
loop_
_atom_site_label
_atom_site_type_symbol
_atom_site_fract_x
_atom_site_fract_y
_atom_site_fract_z
_atom_site_occupancy
K1 K 0.250 0.250 0.250 1
P1 P 0.000 0.000 0.000 1
H1 H 0.000 0.000 0.195 1
```

Magnetization ... 0.000 μB/cell
E_tot ... -111.710 eV per cell
Fermi-level density of states ... 0.0650 states/eV per atom

=====

Entry 7:
K4P2H: optimized geometry, PBE.

CIF file:
```
data_K4P2H
_chemical_formula_sum 'K12 P6 H3'
_space_group_name_H-M_alt 'R -3 m'
_space_group_IT_number 166
_space_group_name_Hall '-R 3 2"'
_cell_length_a 5.4893
_cell_length_b 5.4893
_cell_length_c 24.1788
_cell_angle_alpha 90.00
_cell_angle_beta 90.00
_cell_angle_gamma 120.00
loop_
_atom_site_label
_atom_site_type_symbol
_atom_site_fract_x
_atom_site_fract_y
_atom_site_fract_z
_atom_site_occupancy
K1 K 0.0000 0.0000 0.1329 1
K2 K 0.0000 0.0000 0.2925 1
P1 P 0.0000 0.0000 0.4286 1
H1 H 0.0000 0.0000 0.5000 1
```

Magnetization ... 3.266 μB/cell
E_tot ... -58.959 eV per cell
Fermi-level density of states ... 0.5345 states/eV per atom

=====

Entry 8:
KPH4: optimized geometry, PBE.

CIF file:
```
data_KPH4
_chemical_formula_sum 'K4 P4 H16'
_space_group_name_H-M_alt 'C m c m'
_space_group_IT_number 63
_space_group_name_Hall '-C 2c 2'
_cell_length_a 6.278
_cell_length_b 9.497
_cell_length_c 6.655
_cell_angle_alpha 90.00
_cell_angle_beta 90.00
_cell_angle_gamma 90.00
loop_
_atom_site_label
_atom_site_type_symbol
_atom_site_fract_x
_atom_site_fract_y
_atom_site_fract_z
_atom_site_occupancy
K1 K 0.000 0.195 0.250 1
P1 P 0.000 0.188 0.750 1
H1 H 0.000 0.466 0.530 1
H2 H 0.165 0.083 0.750 1
```

Magnetization ... 0.000 μB/cell
E_tot ... -83.927 eV per cell
Fermi-level density of states ... 0.0000 states/eV per atom

=====

Entry 9:
KPH4: optimized geometry, PBE.

CIF file:
```
data_KPH4
_chemical_formula_sum 'K1 P1 H4'
_space_group_name_H-M_alt 'P 4/m m m'
_space_group_IT_number 123
_space_group_name_Hall '-P 4 2'
_cell_length_a 4.318
_cell_length_b 4.318
_cell_length_c 4.499
_cell_angle_alpha 90.00
_cell_angle_beta 90.00
_cell_angle_gamma 90.00
loop_
_atom_site_label
_atom_site_type_symbol
_atom_site_fract_x
_atom_site_fract_y
_atom_site_fract_z
_atom_site_occupancy
K1 K 0.000 0.000 0.000 1
P1 P 0.500 0.500 0.500 1
H1 H 0.261 0.261 0.500 1
```

Magnetization ... 0.000 μB/cell
E_tot ... -19.498 eV per cell
Fermi-level density of states ... 0.0377 states/eV per atom

=====

Entry 10:
K4PH: optimized geometry, PBE.

CIF file:
```
data_K4PH
_chemical_formula_sum 'K16 P4 H4'
_space_group_name_H-M_alt 'C 1 2/c 1'
_space_group_IT_number 15
_cell_length_a 9.828
_cell_length_b 15.640
_cell_length_c 7.201
_cell_angle_alpha 90.00
_cell_angle_beta 129.04
_cell_angle_gamma 90.00
loop_
_space_group_symop_operation_xyz
'x,y,z'
'-x,-y,-z'
'-x,y,-z+1/2'
'x,-y,z+1/2'
'x+1/2,y+1/2,z'
'-x+1/2,-y+1/2,-z'
'-x+1/2,y+1/2,-z+1/2'
'x+1/2,-y+1/2,z+1/2'
loop_
_atom_site_label
_atom_site_type_symbol
_atom_site_fract_x
_atom_site_fract_y
_atom_site_fract_z
_atom_site_occupancy
K1 K 0.145 0.206 0.123 1
K2 K 0.229 0.471 0.263 1
P1 P 0.000 0.369 0.750 1
H1 H 0.000 0.082 0.250 1
```

Magnetization ... 0.000 μB/cell
E_tot ... -57.121 eV per cell

=====

Repeat the ninth record exactly.
KPH4: optimized geometry, PBE.

CIF file:
```
data_KPH4
_chemical_formula_sum 'K1 P1 H4'
_space_group_name_H-M_alt 'P 4/m m m'
_space_group_IT_number 123
_space_group_name_Hall '-P 4 2'
_cell_length_a 4.318
_cell_length_b 4.318
_cell_length_c 4.499
_cell_angle_alpha 90.00
_cell_angle_beta 90.00
_cell_angle_gamma 90.00
loop_
_atom_site_label
_atom_site_type_symbol
_atom_site_fract_x
_atom_site_fract_y
_atom_site_fract_z
_atom_site_occupancy
K1 K 0.000 0.000 0.000 1
P1 P 0.500 0.500 0.500 1
H1 H 0.261 0.261 0.500 1
```

Magnetization ... 0.000 μB/cell
E_tot ... -19.498 eV per cell
Fermi-level density of states ... 0.0377 states/eV per atom

=====

Q: Among the records above, which one has the lowest E_tot?
A: K12P3H5

=====

Repeat the sixth record exactly.
K2PH6: optimized geometry, PBE.

CIF file:
```
data_K2PH6
_chemical_formula_sum 'K8 P4 H24'
_space_group_name_H-M_alt 'F m -3 m'
_space_group_IT_number 225
_space_group_name_Hall '-F 4 2 3'
_cell_length_a 8.031
_cell_length_b 8.031
_cell_length_c 8.031
_cell_angle_alpha 90.00
_cell_angle_beta 90.00
_cell_angle_gamma 90.00
loop_
_atom_site_label
_atom_site_type_symbol
_atom_site_fract_x
_atom_site_fract_y
_atom_site_fract_z
_atom_site_occupancy
K1 K 0.250 0.250 0.250 1
P1 P 0.000 0.000 0.000 1
H1 H 0.000 0.000 0.195 1
```

Magnetization ... 0.000 μB/cell
E_tot ... -111.710 eV per cell
Fermi-level density of states ... 0.0650 states/eV per atom

=====

Q: Look up the magnetization of the second one.
A: 0.000 μB/cell